First-principles (GGA+U) data for a relaxed structure of FeO2F, as listed in the Alexandria database.

Total DFT energy (no corrections)   -0.3532 Ry per atom
Total magnetization   3.00 μB/f.u.
Crystal system   tetragonal

Cell: 5.245 5.245 8.116 Å, 90.00 90.00 90.00°
Space group I-42d (No. 122)
Symmetry-distinct sites (fractional):
Fe: 0.000 0.000 0.000 [4 per cell]
O: 0.149 0.250 0.125 [8 per cell]
F: 0.000 0.000 0.500 [4 per cell]


First-principles (GGA+U) data for a relaxed structure of Fe10O9F11, as listed in the Alexandria database.

Total magnetization   13.03 μB/f.u.
Energy above the most stable polymorph in this dataset   0.00 eV per formula unit
Crystal system   triclinic

Cell: 4.725 4.726 15.416 Å, 89.95 89.55 86.89°
Space group P1 (No. 1)
Symmetry-distinct sites (fractional):
Fe: 0.000 0.000 0.000 [1 per cell]
Fe: 0.003 0.986 0.606 [1 per cell]
Fe: 0.027 0.050 0.792 [1 per cell]
Fe: 0.043 0.017 0.398 [1 per cell]
Fe: 0.050 0.016 0.210 [1 per cell]
Fe: 0.506 0.563 0.510 [1 per cell]
Fe: 0.509 0.572 0.097 [1 per cell]
Fe: 0.533 0.537 0.699 [1 per cell]
Fe: 0.541 0.513 0.303 [1 per cell]
Fe: 0.576 0.511 0.904 [1 per cell]
O: 0.206 0.839 0.504 [1 per cell]
O: 0.208 0.850 0.100 [1 per cell]
O: 0.230 0.822 0.705 [1 per cell]
O: 0.240 0.823 0.302 [1 per cell]
O: 0.706 0.716 0.605 [1 per cell]
O: 0.717 0.719 0.998 [1 per cell]
O: 0.821 0.236 0.701 [1 per cell]
O: 0.846 0.214 0.301 [1 per cell]
O: 0.852 0.211 0.899 [1 per cell]
F: 0.237 0.814 0.899 [1 per cell]
F: 0.323 0.332 0.604 [1 per cell]
F: 0.327 0.329 0.413 [1 per cell]
F: 0.327 0.335 0.189 [1 per cell]
F: 0.330 0.331 0.998 [1 per cell]
F: 0.349 0.340 0.803 [1 per cell]
F: 0.728 0.729 0.412 [1 per cell]
F: 0.730 0.725 0.803 [1 per cell]
F: 0.730 0.734 0.192 [1 per cell]
F: 0.811 0.237 0.098 [1 per cell]
F: 0.812 0.230 0.503 [1 per cell]


First-principles (GGA+U) data for a relaxed structure of Fe3OF, as listed in the Alexandria database.

Total magnetization   9.75 μB/f.u.
Energy above the most stable polymorph in this dataset   0.00 eV per formula unit
Crystal system   cubic

Cell: 4.058 4.058 4.058 Å, 90.00 90.00 90.00°
Space group Pm-3m (No. 221)
Symmetry-distinct sites (fractional):
Fe: 0.000 0.000 0.500 [3 per cell]
O: 0.000 0.000 0.000 [1 per cell]
F: 0.500 0.500 0.500 [1 per cell]


First-principles (GGA+U) data for a relaxed structure of Fe5O7F3, as listed in the Alexandria database.

Total magnetization   0.34 μB/f.u.
Energy above the most stable polymorph in this dataset   0.00 eV per formula unit
Crystal system   monoclinic

Cell: 6.736 6.547 15.099 Å, 90.00 90.01 90.00°
Space group C2 (No. 5)
Symmetry-distinct sites (fractional):
Fe: 0.000 0.000 0.000 [2 per cell]
Fe: 0.000 0.495 0.500 [2 per cell]
Fe: 0.002 0.497 0.298 [4 per cell]
Fe: 0.007 0.469 0.905 [4 per cell]
Fe: 0.023 0.995 0.599 [4 per cell]
Fe: 0.031 0.001 0.207 [4 per cell]
O: 0.000 0.189 0.500 [2 per cell]
O: 0.000 0.801 0.500 [2 per cell]
O: 0.004 0.800 0.303 [4 per cell]
O: 0.005 0.194 0.304 [4 per cell]
O: 0.009 0.178 0.103 [4 per cell]
O: 0.180 0.492 0.802 [4 per cell]
O: 0.185 0.496 0.399 [4 per cell]
O: 0.196 0.489 0.001 [4 per cell]
F: 0.007 0.789 0.103 [4 per cell]
F: 0.202 0.496 0.600 [4 per cell]
F: 0.207 0.492 0.197 [4 per cell]


First-principles (GGA+U) data for a relaxed structure of FeOF, as listed in the Alexandria database.

Total DFT energy (no corrections)   -0.4419 Ry per atom
Total magnetization   5.00 μB/f.u.
Crystal system   orthorhombic

Cell: 9.172 4.790 4.771 Å, 90.00 90.00 90.00°
Space group Pmn2_1 (No. 31)
Symmetry-distinct sites (fractional):
Fe: 0.000 0.229 0.000 [2 per cell]
Fe: 0.167 0.720 0.414 [4 per cell]
O: 0.000 0.920 0.259 [2 per cell]
O: 0.170 0.427 0.134 [4 per cell]
F: 0.000 0.533 0.642 [2 per cell]
F: 0.164 0.049 0.744 [4 per cell]


First-principles (GGA+U) data for a relaxed structure of Fe2OF3, as listed in the Alexandria database.

Total magnetization   4.33 μB/f.u.
Energy above the most stable polymorph in this dataset   2.20 eV per formula unit
Crystal system   orthorhombic

Cell: 9.287 6.819 6.605 Å, 90.00 90.00 90.00°
Space group Amm2 (No. 38)
Symmetry-distinct sites (fractional):
Fe: 0.000 0.000 0.000 [2 per cell]
Fe: 0.163 0.000 0.531 [4 per cell]
Fe: 0.329 0.000 0.057 [4 per cell]
Fe: 0.500 0.000 0.505 [2 per cell]
O: 0.000 0.000 0.699 [2 per cell]
O: 0.326 0.000 0.360 [4 per cell]
F: 0.000 0.000 0.319 [2 per cell]
F: 0.164 0.213 0.031 [8 per cell]
F: 0.325 0.000 0.745 [4 per cell]
F: 0.500 0.213 0.045 [4 per cell]


> total magnetization of number 4 (Fe5O7F3)?

0.34 μB/f.u.


> Which value of total magnetization does entry 3 give?

9.75 μB/f.u.


> Which of these has the highest total magnetization?

Fe10O9F11


> Among the records above, which one has the lowest total magnetization?

Fe5O7F3